Entry 1:
A plane-wave DFT calculation with PBE-GGA was carried out for CrAsI after structural relaxation.

Summary:
formation energy from raw total energies	42	meV per atom
final energy	-0.3846	Ry per atom
volume	340.40	Å³ per cell

Structure (CIF):
```
data_CrAsI
_chemical_formula_sum 'Cr4 As4 I4'
_cell_length_a 13.424
_cell_length_b 3.825
_cell_length_c 6.630
_cell_angle_alpha 90.00
_cell_angle_beta 90.00
_cell_angle_gamma 90.00
_symmetry_space_group_name_H-M 'A m m 2'
_symmetry_Int_Tables_number 38
loop_
_symmetry_equiv_pos_as_xyz
'x,y,z'
'-x,-y,z'
'-x,y,z'
'x,-y,z'
'x,y+1/2,z+1/2'
'-x,-y+1/2,z+1/2'
'-x,y+1/2,z+1/2'
'x,-y+1/2,z+1/2'
loop_
_atom_site_label
_atom_site_fract_x
_atom_site_fract_y
_atom_site_fract_z
_atom_site_occupancy
Cr1 0.000 0.000 0.000 1
Cr2 0.500 0.000 0.009 1
As1 0.092 0.000 0.667 1
I1 0.364 0.000 0.318 1
```

***

Entry 2:
A plane-wave DFT calculation with PBE-GGA was carried out for SrMgAgF6 after structural relaxation.

Summary:
formation energy from raw total energies	-2790	meV per atom
final energy	-0.3468	Ry per atom
volume	276.81	Å³ per cell

Structure (CIF):
```
data_SrMgAgF6
_chemical_formula_sum 'Sr2 Mg2 Ag2 F12'
_cell_length_a 5.114
_cell_length_b 5.114
_cell_length_c 10.584
_cell_angle_alpha 90.00
_cell_angle_beta 90.00
_cell_angle_gamma 90.00
_symmetry_space_group_name_H-M 'P 42 n m'
_symmetry_Int_Tables_number 102
loop_
_symmetry_equiv_pos_as_xyz
'x,y,z'
'-y+1/2,x+1/2,z+1/2'
'-x,-y,z'
'y+1/2,-x+1/2,z+1/2'
'-x+1/2,y+1/2,z+1/2'
'y,x,z'
'x+1/2,-y+1/2,z+1/2'
'-y,-x,z'
loop_
_atom_site_label
_atom_site_fract_x
_atom_site_fract_y
_atom_site_fract_z
_atom_site_occupancy
Sr1 0.000 0.000 0.000 1
Mg1 0.000 0.000 0.662 1
Ag1 0.000 0.000 0.327 1
F1 0.176 0.176 0.515 1
F2 0.199 0.199 0.810 1
F3 0.225 0.225 0.171 1
```

***

Entry 3:
A plane-wave DFT calculation with PBE-GGA was carried out for NaAc4Tc after structural relaxation.

Summary:
energy of formation	0.089	eV/atom
final energy	-0.3379	Ry per atom
volume	920.32	Å³ per cell

Structure (CIF):
```
data_NaAc4Tc
_chemical_formula_sum 'Na4 Ac16 Tc4'
_cell_length_a 11.654
_cell_length_b 11.666
_cell_length_c 6.771
_cell_angle_alpha 90.00
_cell_angle_beta 91.24
_cell_angle_gamma 90.00
_symmetry_space_group_name_H-M 'C 1 2/c 1'
_symmetry_Int_Tables_number 15
loop_
_symmetry_equiv_pos_as_xyz
'x,y,z'
'-x,-y,-z'
'-x,y,-z+1/2'
'x,-y,z+1/2'
'x+1/2,y+1/2,z'
'-x+1/2,-y+1/2,-z'
'-x+1/2,y+1/2,-z+1/2'
'x+1/2,-y+1/2,z+1/2'
loop_
_atom_site_label
_atom_site_fract_x
_atom_site_fract_y
_atom_site_fract_z
_atom_site_occupancy
Na1 0.000 0.005 0.250 1
Ac1 0.086 0.289 0.506 1
Ac2 0.211 0.414 0.011 1
Tc1 0.000 0.500 0.250 1
```

***

Entry 4:
A plane-wave DFT calculation with PBE-GGA was carried out for PmGa2Si after structural relaxation.

Summary:
formation energy from raw total energies	-238	meV per atom
final energy	-0.3157	Ry per atom
E above lowest polymorph	4.18	kcal/mol of atoms
volume	80.93	Å³ per cell

Structure (CIF):
```
data_PmGa2Si
_chemical_formula_sum 'Pm1 Ga2 Si1'
_cell_length_a 3.512
_cell_length_b 3.512
_cell_length_c 6.561
_cell_angle_alpha 90.00
_cell_angle_beta 90.00
_cell_angle_gamma 90.00
_symmetry_space_group_name_H-M 'P 4/m m m'
_symmetry_Int_Tables_number 123
_symmetry_space_group_name_Hall '-P 4 2'
loop_
_atom_site_label
_atom_site_fract_x
_atom_site_fract_y
_atom_site_fract_z
_atom_site_occupancy
Pm1 0.000 0.000 0.000 1
Ga1 0.500 0.500 0.303 1
Si1 0.000 0.000 0.500 1
```

***

Entry 5:
A plane-wave DFT calculation with PBE-GGA was carried out for MgNbPd2 after structural relaxation.

Summary:
energy of formation	-0.504	eV/atom
final energy	-0.4422	Ry per atom
volume	64.89	Å³ per cell

Structure (CIF):
```
data_MgNbPd2
_chemical_formula_sum 'Mg1 Nb1 Pd2'
_cell_length_a 2.925
_cell_length_b 2.925
_cell_length_c 7.585
_cell_angle_alpha 90.00
_cell_angle_beta 90.00
_cell_angle_gamma 90.00
_symmetry_space_group_name_H-M 'P 4/m m m'
_symmetry_Int_Tables_number 123
_symmetry_space_group_name_Hall '-P 4 2'
loop_
_atom_site_label
_atom_site_fract_x
_atom_site_fract_y
_atom_site_fract_z
_atom_site_occupancy
Mg1 0.000 0.000 0.000 1
Nb1 0.000 0.000 0.500 1
Pd1 0.500 0.500 0.243 1
```

***

Entry 6:
A plane-wave DFT calculation with PBE-GGA was carried out for Sm2AgPd after structural relaxation.

Summary:
energy of formation	-0.553	eV/atom
final energy	-0.3619	Ry per atom
E above lowest polymorph	0.00	kcal/mol of atoms
volume	200.63	Å³ per cell

Structure (CIF):
```
data_Sm2AgPd
_chemical_formula_sum 'Sm4 Ag2 Pd2'
_cell_length_a 5.810
_cell_length_b 4.783
_cell_length_c 7.676
_cell_angle_alpha 90.00
_cell_angle_beta 109.84
_cell_angle_gamma 90.00
_symmetry_space_group_name_H-M 'P 1 21/m 1'
_symmetry_Int_Tables_number 11
loop_
_symmetry_equiv_pos_as_xyz
'x,y,z'
'-x,-y,-z'
'-x,y+1/2,-z'
'x,-y+1/2,z'
loop_
_atom_site_label
_atom_site_fract_x
_atom_site_fract_y
_atom_site_fract_z
_atom_site_occupancy
Sm1 0.213 0.250 0.432 1
Sm2 0.232 0.250 0.928 1
Ag1 0.331 0.750 0.212 1
Pd1 0.341 0.750 0.707 1
```

***

Entry 7:
A plane-wave DFT calculation with PBE-GGA was carried out for SrAcBiTe after structural relaxation.

Summary:
formation energy from raw total energies	-1321	meV per atom
final energy	-0.3325	Ry per atom
E above lowest polymorph	0.00	kcal/mol of atoms
volume	479.09	Å³ per cell

Structure (CIF):
```
data_SrAcBiTe
_chemical_formula_sum 'Sr3 Ac3 Bi3 Te3'
_cell_length_a 4.8465
_cell_length_b 4.8465
_cell_length_c 23.5524
_cell_angle_alpha 90.00
_cell_angle_beta 90.00
_cell_angle_gamma 120.00
_symmetry_space_group_name_H-M 'R 3 m'
_symmetry_Int_Tables_number 160
_symmetry_space_group_name_Hall 'R 3 -2"'
loop_
_atom_site_label
_atom_site_fract_x
_atom_site_fract_y
_atom_site_fract_z
_atom_site_occupancy
Sr1 0.0000 0.0000 0.0000 1
Ac1 0.0000 0.0000 0.5049 1
Bi1 0.0000 0.0000 0.2509 1
Te1 0.0000 0.0000 0.7523 1
```

***

Entry 8:
A plane-wave DFT calculation with PBE-GGA was carried out for RbPt5 after structural relaxation.

Summary:
energy of formation	0.191	eV/atom
final energy	-0.3678	Ry per atom
volume	110.47	Å³ per cell

Structure (CIF):
```
data_RbPt5
_chemical_formula_sum 'Rb1 Pt5'
_cell_length_a 2.921
_cell_length_b 2.921
_cell_length_c 12.945
_cell_angle_alpha 90.00
_cell_angle_beta 90.00
_cell_angle_gamma 90.00
_symmetry_space_group_name_H-M 'P 4/m m m'
_symmetry_Int_Tables_number 123
_symmetry_space_group_name_Hall '-P 4 2'
loop_
_atom_site_label
_atom_site_fract_x
_atom_site_fract_y
_atom_site_fract_z
_atom_site_occupancy
Rb1 0.000 0.000 0.000 1
Pt1 0.000 0.000 0.358 1
Pt2 0.500 0.500 0.215 1
Pt3 0.500 0.500 0.500 1
```